Computed, not measured: a relaxed Pm3Sm8In2 crystal at the GGA-PBE level of DFT.

Computed properties:
Formation energy from the elements ... 1.5 eV per formula unit
Relative energy among the computed polymorphs ... 225 kJ/mol of formula units

Geometry as CIF:
```
data_Pm3Sm8In2
_chemical_formula_sum 'Pm3 Sm8 In2'
_symmetry_space_group_name_H-M 'P 1'
_symmetry_Int_Tables_number 1
_symmetry_space_group_name_Hall 'P 1'
_cell_length_a 6.527
_cell_length_b 6.527
_cell_length_c 12.523
_cell_angle_alpha 74.89
_cell_angle_beta 74.89
_cell_angle_gamma 60.00
loop_
_atom_site_label
_atom_site_fract_x
_atom_site_fract_y
_atom_site_fract_z
Sm1 0.284 0.284 0.148
In1 0.630 0.630 0.109
Sm2 0.281 0.773 0.666
Sm3 0.719 0.719 0.334
In2 0.370 0.370 0.891
Sm4 0.773 0.281 0.666
Pm1 0.190 0.190 0.429
Sm5 0.719 0.227 0.334
Pm2 0.000 0.000 0.000
Sm6 0.716 0.716 0.852
Pm3 0.810 0.810 0.571
Sm7 0.281 0.281 0.666
Sm8 0.227 0.719 0.334
```